GGA-PBE Ba2RuW, relaxed; excess energy over the best structure of this formula in the dataset = 1149 meV/atom; density of states at the Fermi level = 4.8 states/eV per cell; space-group type = P4/mmm, No. 123; calculated formation energy = 1543 meV/atom; uncorrected energy = -4.976 eV/atom
1.0
3.833 0.000 0.000
0.000 3.833 0.000
0.000 0.000 7.642
Ba Ru W
2 1 1
Direct
0.000 0.000 0.234 Ba
0.000 0.000 0.766 Ba
0.500 0.500 0.000 Ru
0.500 0.500 0.500 W

=====

GGA-PBE BaRu2W, relaxed; excess energy over the best structure of this formula in the dataset = 331 meV/atom; density of states at the Fermi level = 4.4 states/eV per cell; space-group type = Pmm2, No. 25; calculated formation energy = 734 meV/atom; uncorrected energy = -7.623 eV/atom
1.0
2.973 0.000 0.000
0.000 3.775 0.000
0.000 0.000 7.649
Ba Ru W
1 2 1
Direct
0.000 0.000 0.000 Ba
0.000 0.000 0.497 Ru
0.500 0.500 0.312 Ru
0.500 0.500 0.630 W

=====

GGA-PBE BaRu2W, relaxed; excess energy over the best structure of this formula in the dataset = 476 meV/atom; density of states at the Fermi level = 3.3 states/eV per cell; space-group type = I-42d, No. 122; calculated formation energy = 879 meV/atom; uncorrected energy = -7.478 eV/atom
1.0
-3.724 3.724 3.363
3.724 -3.724 3.363
3.724 3.724 -3.363
Ba Ru W
2 4 2
Direct
0.000 0.000 0.000 Ba
0.750 0.250 0.500 Ba
0.199 0.625 0.074 Ru
0.375 0.449 0.574 Ru
0.551 0.125 0.926 Ru
0.875 0.801 0.426 Ru
0.250 0.750 0.500 W
0.500 0.500 0.000 W

=====

GGA-PBE Ba4RuW, relaxed; density of states at the Fermi level = 10.1 states/eV per cell; space-group type = F-43m, No. 216; calculated formation energy = 1790 meV/atom; uncorrected energy = -3.197 eV/atom
1.0
0.000 4.793 4.793
4.793 0.000 4.793
4.793 4.793 0.000
Ba Ru W
4 1 1
Direct
0.125 0.125 0.125 Ba
0.125 0.125 0.626 Ba
0.125 0.626 0.125 Ba
0.626 0.125 0.125 Ba
0.750 0.750 0.750 Ru
0.500 0.500 0.500 W

=====

GGA-PBE Ba2RuW, relaxed; excess energy over the best structure of this formula in the dataset = 1175 meV/atom; density of states at the Fermi level = 4.4 states/eV per cell; space-group type = Fm-3m, No. 225; calculated formation energy = 1569 meV/atom; uncorrected energy = -4.950 eV/atom
1.0
0.000 3.860 3.860
3.860 0.000 3.860
3.860 3.860 0.000
Ba Ru W
2 1 1
Direct
0.250 0.250 0.250 Ba
0.750 0.750 0.750 Ba
0.000 0.000 0.000 Ru
0.500 0.500 0.500 W

=====

GGA-PBE Ba2RuW, relaxed; excess energy over the best structure of this formula in the dataset = 1098 meV/atom; density of states at the Fermi level = 6.3 states/eV per cell; space-group type = Pmmm, No. 47; calculated formation energy = 1492 meV/atom; uncorrected energy = -5.027 eV/atom
1.0
3.291 0.000 0.000
0.000 5.236 0.000
0.000 0.000 5.967
Ba Ru W
2 1 1
Direct
0.000 0.000 0.248 Ba
0.000 0.000 0.752 Ba
0.500 0.500 0.000 Ru
0.500 0.500 0.500 W

=====

GGA-PBE BaRuW, relaxed; excess energy over the best structure of this formula in the dataset = 40 meV/atom; density of states at the Fermi level = 2.7 states/eV per cell; space-group type = P3m1, No. 156; calculated formation energy = 671 meV/atom; uncorrected energy = -7.380 eV/atom
1.0
4.173 0.000 0.000
-2.087 3.614 0.000
0.000 0.000 5.457
Ba Ru W
1 1 1
Direct
0.000 0.000 0.000 Ba
0.667 0.333 0.469 Ru
0.333 0.667 0.519 W

=====

GGA-PBE Ba2RuW, relaxed; excess energy over the best structure of this formula in the dataset = 285 meV/atom; density of states at the Fermi level = 5.7 states/eV per cell; space-group type = Imm2, No. 44; calculated formation energy = 678 meV/atom; uncorrected energy = -5.840 eV/atom
1.0
-1.934 2.779 5.887
1.934 -2.779 5.887
1.934 2.779 -5.887
Ba Ru W
2 1 1
Direct
0.000 0.000 0.000 Ba
0.719 0.219 0.500 Ba
0.299 0.799 0.500 Ru
0.415 0.415 0.000 W

=====

Number 1: total magnetic moment 3.21 μB/f.u.. Number 2: total magnetic moment 0.00 μB/f.u.. Number 3: total magnetic moment 0.00 μB/f.u.. Number 4: total magnetic moment 4.82 μB/f.u.. Number 5: total magnetic moment 3.88 μB/f.u.. Number 6: total magnetic moment 0.01 μB/f.u.. Number 7: total magnetic moment 0.00 μB/f.u.. Number 8: total magnetic moment 0.00 μB/f.u..